TlIn2Pt | PBE | optimized geometry

Calculated values
Its magnetic moment is 0.0 Bohr magnetons per cell. The energy above the most stable polymorph in this dataset is 0.221 eV per formula unit. For the density of states at the Fermi level, the calculation gives 3.27 states/eV/cell.

Cell lengths 3.939, 5.267, 10.850 Å; angles 90.00, 90.00, 90.00 degrees
Space group Amm2 (No. 38)
Symmetry-distinct sites (fractional):
Tl 0.000 0.000 0.000 x2
In 0.000 0.000 0.643 x2
In 0.500 0.000 0.323 x2
Pt 0.500 0.000 0.811 x2